Below is an optimized crystal structure of Rb2VOs3O12, with properties calculated at the PBE+U level.

POSCAR file:
```
Rb2VOs3O12
1.0
7.183 0.002 0.001
3.549 6.245 0.001
3.549 2.066 5.894
Rb V Os O
2 1 3 12
Cartesian
8.952 5.211 3.696
5.330 3.102 2.200
0.000 0.000 0.000
3.592 0.001 0.001
1.775 3.123 0.001
1.775 1.033 2.947
6.662 3.878 5.494
11.136 6.482 1.849
8.880 7.763 5.506
8.913 2.599 1.843
11.136 3.888 5.506
6.662 6.467 1.843
7.620 4.435 0.403
3.146 1.831 4.048
5.402 0.550 0.390
5.369 5.714 4.053
3.146 4.425 0.390
7.620 1.846 4.053
```

Output
D(E_F), states/eV per atom: 0.7502
Calculated total energy, eV/atom: -7.02
Size of the total moment, μB/cell: 0.01
SG: R-3m